1.
## DyAl2Ni (GGA-PBEsol)

Data for a relaxed structure of DyAl2Ni.

Cell and atoms, written as CIF:
```
data_DyAl2Ni
_space_group_name_H-M_alt 'P 1'
_space_group_IT_number 1
_cell_length_a 4.013
_cell_length_b 5.428
_cell_length_c 6.809
_cell_angle_alpha 90.00
_cell_angle_beta 90.00
_cell_angle_gamma 111.70
loop_
_space_group_symop_operation_xyz
'x,y,z'
loop_
_atom_site_label
_atom_site_type_symbol
_atom_site_fract_x
_atom_site_fract_y
_atom_site_fract_z
Ni1 Ni 0.216 0.432 0.750
Ni2 Ni 0.784 0.568 0.250
Al1 Al 0.344 0.687 0.054
Al2 Al 0.656 0.313 0.946
Al3 Al 0.656 0.313 0.554
Al4 Al 0.344 0.687 0.446
Dy1 Dy 0.939 0.878 0.750
Dy2 Dy 0.061 0.122 0.250
```

Summary:
The energy relative to the elements is -646 meV/atom. As for the space group: Cmcm, No. 63. The calculation puts the energy at -0.4025 Ry/atom.

2.
## LaFePt2 (GGA-PBEsol)

Data for a relaxed structure of LaFePt2.

Cell and atoms, written as CIF:
```
data_LaFePt2
_space_group_name_H-M_alt 'P 1'
_space_group_IT_number 1
_cell_length_a 4.741
_cell_length_b 4.741
_cell_length_c 4.741
_cell_angle_alpha 60.00
_cell_angle_beta 60.00
_cell_angle_gamma 60.00
loop_
_space_group_symop_operation_xyz
'x,y,z'
loop_
_atom_site_label
_atom_site_type_symbol
_atom_site_fract_x
_atom_site_fract_y
_atom_site_fract_z
Fe1 Fe 0.000 0.000 0.000
La1 La 0.500 0.500 0.500
Pt1 Pt 0.250 0.250 0.250
Pt2 Pt 0.750 0.750 0.750
```

Summary:
The energy relative to the elements is -201 meV/atom. The value obtained for the relative energy among the computed polymorphs is 377 meV/atom. As for the space group: Fm-3m, No. 225. The calculation puts the energy at -0.5336 Ry/atom.

3.
## MnTlTe2 (GGA-PBEsol)

Data for a relaxed structure of MnTlTe2.

Cell and atoms, written as CIF:
```
data_MnTlTe2
_space_group_name_H-M_alt 'P 1'
_space_group_IT_number 1
_cell_length_a 3.250
_cell_length_b 3.250
_cell_length_c 9.247
_cell_angle_alpha 90.00
_cell_angle_beta 90.00
_cell_angle_gamma 90.00
loop_
_space_group_symop_operation_xyz
'x,y,z'
loop_
_atom_site_label
_atom_site_type_symbol
_atom_site_fract_x
_atom_site_fract_y
_atom_site_fract_z
Mn1 Mn 0.500 0.500 0.777
Te1 Te 0.000 0.000 0.920
Te2 Te 0.500 0.500 0.250
Tl1 Tl 0.000 0.000 0.554
```

Summary:
As for the space group: P4mm, No. 99. The calculation puts the energy at -0.3419 Ry/atom.

4.
## KGaGeS4 (GGA-PBEsol)

Data for a relaxed structure of KGaGeS4.

Cell and atoms, written as CIF:
```
data_KGaGeS4
_space_group_name_H-M_alt 'P 1'
_space_group_IT_number 1
_cell_length_a 6.847
_cell_length_b 7.132
_cell_length_c 15.968
_cell_angle_alpha 90.00
_cell_angle_beta 90.00
_cell_angle_gamma 109.81
loop_
_space_group_symop_operation_xyz
'x,y,z'
loop_
_atom_site_label
_atom_site_type_symbol
_atom_site_fract_x
_atom_site_fract_y
_atom_site_fract_z
K1 K 0.024 0.180 0.607
K2 K 0.976 0.820 0.107
K3 K 0.498 0.831 0.397
K4 K 0.502 0.169 0.897
Ga1 Ga 0.854 0.487 0.416
Ga2 Ga 0.146 0.513 0.916
Ga3 Ga 0.387 0.703 0.725
Ga4 Ga 0.613 0.297 0.225
Ge1 Ge 0.662 0.530 0.579
Ge2 Ge 0.338 0.470 0.079
Ge3 Ge 0.110 0.279 0.277
Ge4 Ge 0.890 0.721 0.777
S1 S 0.140 0.393 0.408
S2 S 0.860 0.607 0.908
S3 S 0.379 0.615 0.587
S4 S 0.621 0.385 0.087
S5 S 0.234 0.559 0.201
S6 S 0.766 0.441 0.701
S7 S 0.257 0.419 0.797
S8 S 0.743 0.581 0.297
S9 S 0.794 0.084 0.241
S10 S 0.206 0.916 0.741
S11 S 0.708 0.921 0.759
S12 S 0.292 0.079 0.259
S13 S 0.092 0.245 0.006
S14 S 0.908 0.755 0.506
S15 S 0.386 0.739 0.000
S16 S 0.614 0.261 0.500
```

Summary:
As for the space group: P2_1, No. 4. The calculation puts the energy at -0.3403 Ry/atom.

5.
## VIr3 (GGA-PBEsol)

Data for a relaxed structure of VIr3.

Cell and atoms, written as CIF:
```
data_VIr3
_space_group_name_H-M_alt 'P 1'
_space_group_IT_number 1
_cell_length_a 4.308
_cell_length_b 5.405
_cell_length_c 5.405
_cell_angle_alpha 120.00
_cell_angle_beta 90.00
_cell_angle_gamma 90.00
loop_
_space_group_symop_operation_xyz
'x,y,z'
loop_
_atom_site_label
_atom_site_type_symbol
_atom_site_fract_x
_atom_site_fract_y
_atom_site_fract_z
Ir1 Ir 0.250 0.665 0.833
Ir2 Ir 0.250 0.167 0.335
Ir3 Ir 0.250 0.167 0.833
Ir4 Ir 0.750 0.335 0.167
Ir5 Ir 0.750 0.833 0.665
Ir6 Ir 0.750 0.833 0.167
V1 V 0.750 0.333 0.667
V2 V 0.250 0.667 0.333
```

Summary:
The energy relative to the elements is -519 meV/atom. As for the space group: P6_3/mmc, No. 194. The calculation puts the energy at -0.7567 Ry/atom.

6.
## KRbHg3 (GGA-PBEsol)

Data for a relaxed structure of KRbHg3.

Cell and atoms, written as CIF:
```
data_KRbHg3
_space_group_name_H-M_alt 'P 1'
_space_group_IT_number 1
_cell_length_a 6.095
_cell_length_b 6.095
_cell_length_c 6.095
_cell_angle_alpha 90.00
_cell_angle_beta 90.00
_cell_angle_gamma 90.00
loop_
_space_group_symop_operation_xyz
'x,y,z'
loop_
_atom_site_label
_atom_site_type_symbol
_atom_site_fract_x
_atom_site_fract_y
_atom_site_fract_z
K1 K 0.000 0.000 0.000
Hg1 Hg 0.000 0.500 0.000
Hg2 Hg 0.000 0.000 0.500
Hg3 Hg 0.500 0.000 0.000
Rb1 Rb 0.500 0.500 0.500
```

Summary:
The energy relative to the elements is 108 meV/atom. As for the space group: Pm-3m, No. 221. The calculation puts the energy at -0.0488 Ry/atom.

7.
## TiNi (GGA-PBEsol)

Data for a relaxed structure of TiNi.

Cell and atoms, written as CIF:
```
data_TiNi
_space_group_name_H-M_alt 'P 1'
_space_group_IT_number 1
_cell_length_a 2.969
_cell_length_b 2.969
_cell_length_c 2.967
_cell_angle_alpha 90.00
_cell_angle_beta 90.00
_cell_angle_gamma 90.00
loop_
_space_group_symop_operation_xyz
'x,y,z'
loop_
_atom_site_label
_atom_site_type_symbol
_atom_site_fract_x
_atom_site_fract_y
_atom_site_fract_z
Ni1 Ni 0.500 0.500 0.500
Ti1 Ti 0.000 0.000 0.000
```

Summary:
The energy relative to the elements is -357 meV/atom. As for the space group: Pm-3m, No. 221. The calculation puts the energy at -0.5584 Ry/atom.

8.
## NiRuC3 (GGA-PBEsol)

Data for a relaxed structure of NiRuC3.

Cell and atoms, written as CIF:
```
data_NiRuC3
_space_group_name_H-M_alt 'P 1'
_space_group_IT_number 1
_cell_length_a 3.637
_cell_length_b 3.637
_cell_length_c 3.637
_cell_angle_alpha 90.00
_cell_angle_beta 90.00
_cell_angle_gamma 90.00
loop_
_space_group_symop_operation_xyz
'x,y,z'
loop_
_atom_site_label
_atom_site_type_symbol
_atom_site_fract_x
_atom_site_fract_y
_atom_site_fract_z
Ru1 Ru 0.500 0.500 0.500
C1 C 0.000 0.500 0.000
C2 C 0.000 0.000 0.500
C3 C 0.500 0.000 0.000
Ni1 Ni 0.000 0.000 0.000
```

Summary:
The energy relative to the elements is 2345 meV/atom. As for the space group: Pm-3m, No. 221. The calculation puts the energy at -0.4930 Ry/atom.

9.
## KNbPO5 (GGA-PBEsol)

Data for a relaxed structure of KNbPO5.

Cell and atoms, written as CIF:
```
data_KNbPO5
_space_group_name_H-M_alt 'P 1'
_space_group_IT_number 1
_cell_length_a 6.572
_cell_length_b 11.112
_cell_length_c 13.211
_cell_angle_alpha 90.00
_cell_angle_beta 90.00
_cell_angle_gamma 90.00
loop_
_space_group_symop_operation_xyz
'x,y,z'
loop_
_atom_site_label
_atom_site_type_symbol
_atom_site_fract_x
_atom_site_fract_y
_atom_site_fract_z
K1 K 0.218 0.571 0.109
K2 K 0.782 0.071 0.891
K3 K 0.282 0.571 0.609
K4 K 0.718 0.071 0.391
K5 K 0.777 0.316 0.133
K6 K 0.223 0.816 0.867
K7 K 0.723 0.316 0.633
K8 K 0.277 0.816 0.367
Nb1 Nb 0.256 0.274 0.257
Nb2 Nb 0.744 0.774 0.743
Nb3 Nb 0.244 0.274 0.757
Nb4 Nb 0.756 0.774 0.243
Nb5 Nb 0.497 0.026 0.126
Nb6 Nb 0.503 0.526 0.874
Nb7 Nb 0.003 0.026 0.626
Nb8 Nb 0.997 0.526 0.374
P1 P 0.001 0.028 0.177
P2 P 0.999 0.528 0.823
P3 P 0.499 0.028 0.677
P4 P 0.501 0.528 0.323
P5 P 0.343 0.280 0.005
P6 P 0.657 0.780 0.995
P7 P 0.157 0.280 0.505
P8 P 0.843 0.780 0.495
O1 O 0.186 0.009 0.107
O2 O 0.814 0.509 0.893
O3 O 0.314 0.009 0.607
O4 O 0.686 0.509 0.393
O5 O 0.204 0.296 0.099
O6 O 0.796 0.796 0.901
O7 O 0.296 0.296 0.599
O8 O 0.704 0.796 0.401
O9 O 0.027 0.396 0.495
O10 O 0.973 0.896 0.505
O11 O 0.473 0.396 0.995
O12 O 0.527 0.896 0.005
O13 O 0.027 0.138 0.248
O14 O 0.973 0.638 0.752
O15 O 0.473 0.138 0.748
O16 O 0.527 0.638 0.252
O17 O 0.491 0.172 0.017
O18 O 0.509 0.672 0.983
O19 O 0.009 0.172 0.517
O20 O 0.991 0.672 0.483
O21 O 0.314 0.552 0.392
O22 O 0.686 0.052 0.608
O23 O 0.186 0.552 0.892
O24 O 0.814 0.052 0.108
O25 O 0.046 0.399 0.280
O26 O 0.954 0.899 0.720
O27 O 0.454 0.399 0.780
O28 O 0.546 0.899 0.220
O29 O 0.297 0.259 0.413
O30 O 0.703 0.759 0.587
O31 O 0.203 0.259 0.913
O32 O 0.797 0.759 0.087
O33 O 0.468 0.417 0.254
O34 O 0.532 0.917 0.746
O35 O 0.032 0.417 0.754
O36 O 0.968 0.917 0.246
O37 O 0.459 0.149 0.226
O38 O 0.541 0.649 0.774
O39 O 0.041 0.149 0.726
O40 O 0.959 0.649 0.274
```

Summary:
As for the space group: Pna2_1, No. 33. The calculation puts the energy at -0.5773 Ry/atom.

10.
## Sr5V2N6 (GGA-PBEsol)

Data for a relaxed structure of Sr5V2N6.

Cell and atoms, written as CIF:
```
data_Sr5V2N6
_space_group_name_H-M_alt 'P 1'
_space_group_IT_number 1
_cell_length_a 6.073
_cell_length_b 6.073
_cell_length_c 13.564
_cell_angle_alpha 80.15
_cell_angle_beta 80.15
_cell_angle_gamma 64.93
loop_
_space_group_symop_operation_xyz
'x,y,z'
loop_
_atom_site_label
_atom_site_type_symbol
_atom_site_fract_x
_atom_site_fract_y
_atom_site_fract_z
Sr1 Sr 0.673 0.191 0.998
Sr2 Sr 0.809 0.327 0.502
Sr3 Sr 0.327 0.809 0.002
Sr4 Sr 0.191 0.673 0.498
Sr5 Sr 0.752 0.932 0.718
Sr6 Sr 0.068 0.248 0.782
Sr7 Sr 0.248 0.068 0.282
Sr8 Sr 0.932 0.752 0.218
Sr9 Sr 0.380 0.620 0.750
Sr10 Sr 0.620 0.380 0.250
V1 V 0.360 0.090 0.574
V2 V 0.910 0.640 0.926
V3 V 0.640 0.910 0.426
V4 V 0.090 0.360 0.074
N1 N 0.110 0.009 0.629
N2 N 0.991 0.890 0.871
N3 N 0.890 0.991 0.371
N4 N 0.009 0.110 0.129
N5 N 0.397 0.303 0.642
N6 N 0.697 0.603 0.858
N7 N 0.603 0.697 0.358
N8 N 0.303 0.397 0.142
N9 N 0.660 0.794 0.566
N10 N 0.206 0.340 0.934
N11 N 0.340 0.206 0.434
N12 N 0.794 0.660 0.066
```

Summary:
As for the space group: C2/c, No. 15. The calculation puts the energy at -0.5318 Ry/atom.

11.
## RbSn (GGA-PBEsol)

Data for a relaxed structure of RbSn.

Cell and atoms, written as CIF:
```
data_RbSn
_space_group_name_H-M_alt 'P 1'
_space_group_IT_number 1
_cell_length_a 11.582
_cell_length_b 12.542
_cell_length_c 11.582
_cell_angle_alpha 117.50
_cell_angle_beta 90.00
_cell_angle_gamma 117.50
loop_
_space_group_symop_operation_xyz
'x,y,z'
loop_
_atom_site_label
_atom_site_type_symbol
_atom_site_fract_x
_atom_site_fract_y
_atom_site_fract_z
Rb1 Rb 0.875 0.250 0.486
Rb2 Rb 0.014 0.750 0.625
Rb3 Rb 0.736 0.750 0.125
Rb4 Rb 0.375 0.250 0.764
Rb5 Rb 0.375 0.250 0.264
Rb6 Rb 0.236 0.750 0.125
Rb7 Rb 0.514 0.750 0.625
Rb8 Rb 0.875 0.250 0.986
Rb9 Rb 0.371 0.500 0.129
Rb10 Rb 0.621 0.000 0.121
Rb11 Rb 0.379 0.000 0.879
Rb12 Rb 0.129 0.500 0.371
Rb13 Rb 0.879 0.000 0.621
Rb14 Rb 0.629 0.500 0.629
Rb15 Rb 0.871 0.500 0.871
Rb16 Rb 0.121 0.000 0.379
Sn1 Sn 0.055 0.889 0.008
Sn2 Sn 0.132 0.389 0.805
Sn3 Sn 0.258 0.389 0.584
Sn4 Sn 0.695 0.611 0.368
Sn5 Sn 0.916 0.611 0.242
Sn6 Sn 0.492 0.111 0.445
Sn7 Sn 0.618 0.111 0.666
Sn8 Sn 0.834 0.889 0.882
Sn9 Sn 0.195 0.611 0.742
Sn10 Sn 0.118 0.111 0.945
Sn11 Sn 0.992 0.111 0.166
Sn12 Sn 0.555 0.889 0.382
Sn13 Sn 0.334 0.889 0.508
Sn14 Sn 0.758 0.389 0.305
Sn15 Sn 0.632 0.389 0.084
Sn16 Sn 0.416 0.611 0.868
```

Summary:
The energy relative to the elements is -290 meV/atom. As for the space group: I4_1/acd, No. 142. The calculation puts the energy at -0.2155 Ry/atom.

12.
## AgBr (GGA-PBEsol)

Data for a relaxed structure of AgBr.

Cell and atoms, written as CIF:
```
data_AgBr
_space_group_name_H-M_alt 'P 1'
_space_group_IT_number 1
_cell_length_a 4.006
_cell_length_b 4.006
_cell_length_c 4.006
_cell_angle_alpha 60.00
_cell_angle_beta 60.00
_cell_angle_gamma 60.00
loop_
_space_group_symop_operation_xyz
'x,y,z'
loop_
_atom_site_label
_atom_site_type_symbol
_atom_site_fract_x
_atom_site_fract_y
_atom_site_fract_z
Ag1 Ag 0.000 0.000 0.000
Br1 Br 0.500 0.500 0.500
```

Summary:
As for the space group: Fm-3m, No. 225. The calculation puts the energy at -0.2094 Ry/atom.

What is the formula in the tenth record? Sr5V2N6